Computed, not measured: a relaxed Ba7V6CoCl4O21 crystal at the GGA-PBEsol level of DFT.

Cell: 9.832 9.832 14.738 Å, 90.00 90.00 64.93°
Fractional coordinates of all 78 atoms:
Ba (0.138, 0.862, 0.750)
Ba (0.150, 0.543, 0.250)
Ba (0.162, 0.548, 0.539)
Ba (0.162, 0.548, 0.961)
Ba (0.452, 0.838, 0.539)
Ba (0.452, 0.838, 0.961)
Ba (0.457, 0.850, 0.250)
Ba (0.543, 0.150, 0.750)
Ba (0.548, 0.162, 0.039)
Ba (0.548, 0.162, 0.461)
Ba (0.838, 0.452, 0.039)
Ba (0.838, 0.452, 0.461)
Ba (0.850, 0.457, 0.750)
Ba (0.862, 0.138, 0.250)
V (0.168, 0.173, 0.131)
V (0.168, 0.173, 0.369)
V (0.173, 0.168, 0.631)
V (0.173, 0.168, 0.869)
V (0.493, 0.507, 0.638)
V (0.493, 0.507, 0.862)
V (0.507, 0.493, 0.138)
V (0.507, 0.493, 0.362)
V (0.827, 0.832, 0.131)
V (0.827, 0.832, 0.369)
V (0.832, 0.827, 0.631)
V (0.832, 0.827, 0.869)
Co (0.000, 0.000, 0.000)
Co (0.000, 0.000, 0.500)
Cl (0.160, 0.511, 0.750)
Cl (0.184, 0.816, 0.104)
Cl (0.184, 0.816, 0.396)
Cl (0.489, 0.840, 0.750)
Cl (0.511, 0.160, 0.250)
Cl (0.816, 0.184, 0.604)
Cl (0.816, 0.184, 0.896)
Cl (0.840, 0.489, 0.250)
O (0.015, 0.158, 0.083)
O (0.015, 0.158, 0.417)
O (0.055, 0.335, 0.588)
O (0.055, 0.335, 0.912)
O (0.123, 0.165, 0.750)
O (0.141, 0.351, 0.117)
O (0.141, 0.351, 0.383)
O (0.158, 0.015, 0.583)
O (0.158, 0.015, 0.917)
O (0.165, 0.123, 0.250)
O (0.333, 0.667, 0.628)
O (0.333, 0.667, 0.872)
O (0.335, 0.055, 0.088)
O (0.335, 0.055, 0.412)
O (0.351, 0.141, 0.617)
O (0.351, 0.141, 0.883)
O (0.369, 0.459, 0.091)
O (0.369, 0.459, 0.409)
O (0.438, 0.562, 0.250)
O (0.459, 0.369, 0.591)
O (0.459, 0.369, 0.909)
O (0.541, 0.631, 0.091)
O (0.541, 0.631, 0.409)
O (0.562, 0.438, 0.750)
O (0.631, 0.541, 0.591)
O (0.631, 0.541, 0.909)
O (0.649, 0.859, 0.117)
O (0.649, 0.859, 0.383)
O (0.665, 0.945, 0.588)
O (0.665, 0.945, 0.912)
O (0.667, 0.333, 0.128)
O (0.667, 0.333, 0.372)
O (0.835, 0.877, 0.750)
O (0.842, 0.985, 0.083)
O (0.842, 0.985, 0.417)
O (0.859, 0.649, 0.617)
O (0.859, 0.649, 0.883)
O (0.877, 0.835, 0.250)
O (0.945, 0.665, 0.088)
O (0.945, 0.665, 0.412)
O (0.985, 0.842, 0.583)
O (0.985, 0.842, 0.917)

Computed properties:
energy relative to the elements, uncorrected = -2.61 eV per atom